a.
A relaxed Ti2In2Pb crystal, computed with GGA-PBE.

```
10
Lattice="7.2040 0.0000 0.0000 0.0000 7.2040 0.0000 0.0000 0.0000 4.2859" Properties=species:S:1:pos:R:3 pbc="T T T"
Ti 1.0123 2.5897 0.0000
Ti 2.5897 6.1917 0.0000
Ti 4.6143 1.0123 0.0000
Ti 6.1917 4.6143 0.0000
In 1.1246 4.7266 2.1429
In 2.4774 1.1246 2.1429
In 4.7266 6.0795 2.1429
In 6.0795 2.4774 2.1429
Pb 0.0000 0.0000 0.0000
Pb 3.6020 3.6020 0.0000
```

Summary:
Symmetry: P4/mbm (127)

b.
A relaxed Ti2In2Pb crystal, computed with GGA-PBE.

```
10
Lattice="8.7167 0.0000 0.0000 0.0000 8.7167 0.0000 0.0000 0.0000 3.0524" Properties=species:S:1:pos:R:3 pbc="T T T"
Ti 0.9788 3.3796 0.0000
Ti 3.3796 7.7380 0.0000
Ti 5.3371 0.9788 0.0000
Ti 7.7380 5.3371 0.0000
In 1.5550 5.9134 1.5262
In 2.8034 1.5550 1.5262
In 5.9134 7.1617 1.5262
In 7.1617 2.8034 1.5262
Pb 0.0000 0.0000 1.5262
Pb 4.3584 4.3584 1.5262
```

Summary:
Symmetry: P4/mbm (127)

c.
A relaxed Ti2In2Pb crystal, computed with GGA-PBE.

```
5
Lattice="-2.0603 2.0603 7.1605 2.0603 -2.0603 7.1605 2.0603 2.0603 -7.1605" Properties=species:S:1:pos:R:3 pbc="T T T"
Ti 2.0603 0.0000 3.5802
Ti 0.0000 2.0603 3.5802
In 0.0000 0.0000 1.4918
In 0.0000 0.0000 12.8292
Pb 0.0000 0.0000 7.1605
```

Summary:
Symmetry: I4/mmm (139)

a ends up most stable, edging out the next structure by 7.1 kJ/mol of atoms.